Entry from the Alexandria database: a relaxed structure of RbCaLaI6 (PBE).

```
data_RbCaLaI6
_space_group_name_H-M_alt 'P -3 1 c'
_space_group_IT_number 163
_space_group_name_Hall '-P 3 2c'
_cell_length_a 8.1993
_cell_length_b 8.1993
_cell_length_c 16.1313
_cell_angle_alpha 90.00
_cell_angle_beta 90.00
_cell_angle_gamma 120.00
loop_
_atom_site_label
_atom_site_type_symbol
_atom_site_fract_x
_atom_site_fract_y
_atom_site_fract_z
Rb1 Rb 0.0000 0.0000 0.0000
Ca1 Ca 0.3333 0.6667 0.2500
La1 La 0.3333 0.6667 0.7500
I1 I 0.0026 0.3722 0.1366
```

Summary:
Its uncorrected formation energy is -1.5563 eV/atom.

***

Entry from the Alexandria database: a relaxed structure of ZnRh2O6 (PBE).

```
data_ZnRh2O6
_space_group_name_H-M_alt 'P -3 1 m'
_space_group_IT_number 162
_space_group_name_Hall '-P 3 2'
_cell_length_a 5.3668
_cell_length_b 5.3668
_cell_length_c 4.6705
_cell_angle_alpha 90.00
_cell_angle_beta 90.00
_cell_angle_gamma 120.00
loop_
_atom_site_label
_atom_site_type_symbol
_atom_site_fract_x
_atom_site_fract_y
_atom_site_fract_z
Zn1 Zn 0.0000 0.0000 0.0000
Rh1 Rh 0.3333 0.6667 0.0000
O1 O 0.0000 0.3477 0.2059
```

Summary:
Its uncorrected formation energy is -0.5662 eV/atom.

***

Entry from the Alexandria database: a relaxed structure of LiPrTcN3 (PBE).

```
data_LiPrTcN3
_space_group_name_H-M_alt 'C m c m'
_space_group_IT_number 63
_space_group_name_Hall '-C 2c 2'
_cell_length_a 3.393
_cell_length_b 11.702
_cell_length_c 8.089
_cell_angle_alpha 90.00
_cell_angle_beta 90.00
_cell_angle_gamma 90.00
loop_
_atom_site_label
_atom_site_type_symbol
_atom_site_fract_x
_atom_site_fract_y
_atom_site_fract_z
Li1 Li 0.000 0.000 0.000
Pr1 Pr 0.000 0.298 0.250
Tc1 Tc 0.000 0.443 0.750
N1 N 0.000 0.042 0.750
N2 N 0.000 0.356 0.567
```

Summary:
Its uncorrected formation energy is -0.5293 eV/atom.

***

Values for D(E_F), states/eV per atom, ordered as above
0.000 0.534 0.062